Entry from the Alexandria database: an optimized crystal structure of Zn3GaPt4 (PBE).

Summary:
space group = I4/mmm, No. 139
volume = 14.73 Å³/atom
formation energy = -578 meV/atom

The structure in POSCAR format:
```
Zn3GaPt4
1.0
3.933 0.000 -1.062
-0.282 3.928 -1.044
-0.041 -0.075 7.663
Zn Pt Ga
3 4 1
Direct
0.000 0.500 0.000
0.751 0.251 0.502
0.249 0.749 0.498
0.377 0.377 0.753
0.623 0.623 0.247
0.123 0.123 0.247
0.877 0.877 0.753
0.500 0.000 0.000
```